{
  "formula": "LiLa3Ru",
  "functional": "SCAN",
  "state": "PBEsol geometry",
  "lattice": [[6.0285, 0.0000, 0.0000], [0.0000, 6.3439, 0.0000], [0.0000, 0.0000, 7.6784]],
  "species": ["Li", "Li", "La", "La", "La", "La", "La", "La", "Ru", "Ru"],
  "frac_coords": [[0.2500, 0.8392, 0.5000], [0.7500, 0.1608, 0.5000], [0.2500, 0.8624, 0.0000], [0.7500, 0.1376, 0.0000], [0.7500, 0.6691, 0.2751], [0.2500, 0.3309, 0.2751], [0.7500, 0.6691, 0.7249], [0.2500, 0.3309, 0.7249], [0.5000, 0.5000, 0.0000], [0.0000, 0.5000, 0.0000]],
  "dos_at_fermi_per_ev_cell": 5.0,
  "final_energy_ry_per_atom": -2.4638,
  "de_polymorph_mev_per_atom": 0,
  "space_group": "No. 51",
  "formation_enthalpy_0k_ev_per_atom": -0.22
}

***

{
  "formula": "LiLaRuS2",
  "functional": "SCAN",
  "state": "PBEsol geometry",
  "lattice": [[-0.8922, -2.5215, 4.0677], [2.1564, -4.5362, -2.3389], [5.0016, 1.3732, 1.9483]],
  "species": ["S", "S", "Li", "La", "Ru"],
  "frac_coords": [[0.0000, 0.5000, 0.0000], [0.0000, 0.0000, 0.5000], [0.5000, 0.5000, 0.5000], [0.0000, 0.0000, 0.0000], [0.5000, 0.0000, 0.0000]],
  "dos_at_fermi_per_ev_cell": 4.9,
  "final_energy_ry_per_atom": -1.4553,
  "space_group": "No. 123",
  "formation_energy_uncorrected_ev_per_atom": 0.1157
}

***

{
  "formula": "LiLa2SeS",
  "functional": "SCAN",
  "state": "PBEsol geometry",
  "lattice": [[4.2287, 0.0000, 0.0000], [0.0000, 5.6274, 0.0000], [0.0000, 0.0000, 5.6274]],
  "species": ["S", "Li", "La", "La", "Se"],
  "frac_coords": [[0.5000, 0.5000, 0.5000], [0.5000, 0.0000, 0.0000], [0.0000, 0.0000, 0.5000], [0.0000, 0.5000, 0.0000], [0.0000, 0.0000, 0.0000]],
  "dos_at_fermi_per_ev_cell": 3.6,
  "final_energy_ry_per_atom": -1.8185,
  "space_group": "No. 123",
  "formation_energy_uncorrected_ev_per_atom": -1.0802
}

***

{
  "formula": "LiLa2Sb",
  "functional": "SCAN",
  "state": "PBEsol geometry",
  "lattice": [[-1.6094, -2.9743, 2.8151], [3.7653, -2.3602, -0.3411], [3.1157, 4.5200, 3.1180]],
  "species": ["Sb", "La", "La", "Li"],
  "frac_coords": [[0.6854, 0.5000, 0.3708], [0.4052, 0.5000, 0.8105], [0.1073, 0.0000, 0.2147], [0.8180, 0.0000, 0.6360]],
  "dos_at_fermi_per_ev_cell": 2.6,
  "final_energy_ry_per_atom": -2.3657,
  "space_group": "No. 38",
  "formation_energy_uncorrected_ev_per_atom": -0.7224
}

***

{
  "formula": "Li2LaSb",
  "functional": "SCAN",
  "state": "PBEsol geometry",
  "lattice": [[-4.7391, 1.9639, 0.1481], [-2.9223, -0.0284, -4.2151], [-4.0738, -3.1043, -0.2742]],
  "species": ["La", "Li", "Li", "Sb"],
  "frac_coords": [[0.7500, 0.7500, 0.7500], [0.9998, 0.0002, 0.0002], [0.2501, 0.2499, 0.2499], [0.5001, 0.4999, 0.4999]],
  "dos_at_fermi_per_ev_cell": 1.2,
  "final_energy_ry_per_atom": -1.6034,
  "space_group": "No. 216",
  "formation_energy_uncorrected_ev_per_atom": -0.5284
}

***

{
  "formula": "Li2LaSb",
  "functional": "SCAN",
  "state": "PBEsol geometry",
  "lattice": [[-2.2277, 2.9793, -1.1680], [-1.7228, -2.3159, -2.6214], [-4.8833, -1.7776, 4.7796]],
  "species": ["Sb", "La", "Li", "Li"],
  "frac_coords": [[0.0000, 0.0000, 0.4689], [0.5000, 0.5000, 0.7050], [0.5000, 0.5000, 0.2573], [0.0000, 0.0000, 0.0688]],
  "dos_at_fermi_per_ev_cell": 1.9,
  "final_energy_ry_per_atom": -1.5949,
  "space_group": "No. 99",
  "formation_energy_uncorrected_ev_per_atom": -0.4129
}

***

{
  "formula": "Li3LaSb",
  "functional": "SCAN",
  "state": "PBEsol geometry",
  "lattice": [[-1.2000, -2.4552, -4.1286], [2.9171, -3.7533, 1.3842], [-3.8162, -2.0970, 2.3562]],
  "species": ["Li", "Li", "Li", "Sb", "La"],
  "frac_coords": [[0.0000, 0.5000, 0.0000], [0.5000, 0.0000, 0.0000], [0.0000, 0.0000, 0.5000], [0.0000, 0.0000, 0.0000], [0.5000, 0.5000, 0.5000]],
  "dos_at_fermi_per_ev_cell": 3.4,
  "final_energy_ry_per_atom": -1.2981,
  "space_group": "No. 221",
  "formation_energy_uncorrected_ev_per_atom": -0.1546
}

***

{
  "formula": "Li2LaSb",
  "functional": "SCAN",
  "state": "PBEsol geometry",
  "lattice": [[3.8094, 0.0000, 0.0000], [0.0000, 3.8094, 0.0000], [0.0000, 0.0000, 6.5812]],
  "species": ["Li", "Li", "Sb", "La"],
  "frac_coords": [[0.0000, 0.0000, 0.8044], [0.0000, 0.0000, 0.1956], [0.5000, 0.5000, 0.0000], [0.5000, 0.5000, 0.5000]],
  "dos_at_fermi_per_ev_cell": 2.2,
  "final_energy_ry_per_atom": -1.5878,
  "space_group": "No. 123",
  "formation_energy_uncorrected_ev_per_atom": -0.3174
}

***

{
  "formula": "Li2LaSb2",
  "functional": "SCAN",
  "state": "PBEsol geometry",
  "lattice": [[-3.3059, 2.6487, 1.0695], [-2.8117, -3.3058, -0.5043], [3.7637, -1.1693, 5.6057]],
  "species": ["La", "Li", "Li", "Sb", "Sb"],
  "frac_coords": [[0.0000, 0.0000, 0.0000], [0.2500, 0.7500, 0.5000], [0.7500, 0.2500, 0.5000], [0.6196, 0.6196, 0.2392], [0.3804, 0.3804, 0.7608]],
  "dos_at_fermi_per_ev_cell": 2.5,
  "final_energy_ry_per_atom": -1.8628,
  "space_group": "No. 139",
  "formation_energy_uncorrected_ev_per_atom": -0.8636
}

***

{
  "formula": "LiLa2Sb",
  "functional": "SCAN",
  "state": "PBEsol geometry",
  "lattice": [[-2.6753, -3.1642, 1.2545], [-0.7407, -1.2898, -4.8329], [3.9064, -3.2004, 0.2584]],
  "species": ["La", "La", "Sb", "Li"],
  "frac_coords": [[0.0000, 0.0000, 0.5000], [0.0000, 0.5000, 0.0000], [0.5000, 0.5000, 0.5000], [0.5000, 0.0000, 0.0000]],
  "dos_at_fermi_per_ev_cell": 2.9,
  "final_energy_ry_per_atom": -2.3619,
  "space_group": "No. 123",
  "formation_energy_uncorrected_ev_per_atom": -0.6696
}

***

{
  "formula": "LiLaSbTe2",
  "functional": "SCAN",
  "state": "PBEsol geometry",
  "lattice": [[4.7953, 0.0000, 0.0000], [0.0000, 5.2497, 0.0000], [0.0000, 0.0000, 5.2497]],
  "species": ["Te", "Te", "La", "Sb", "Li"],
  "frac_coords": [[0.0000, 0.5000, 0.0000], [0.0000, 0.0000, 0.5000], [0.5000, 0.5000, 0.5000], [0.5000, 0.0000, 0.0000], [0.0000, 0.0000, 0.0000]],
  "dos_at_fermi_per_ev_cell": 2.2,
  "final_energy_ry_per_atom": -2.3577,
  "space_group": "No. 123",
  "formation_energy_uncorrected_ev_per_atom": -0.6267
}

***

{
  "formula": "LiLaSc2",
  "functional": "SCAN",
  "state": "PBEsol geometry",
  "lattice": [[-2.3665, -2.3153, -0.3086], [-1.0011, -1.7195, 2.6641], [-8.5060, 5.9443, 2.7154]],
  "species": ["Sc", "Sc", "Li", "La"],
  "frac_coords": [[0.7471, 0.7471, 0.7586], [0.2529, 0.2529, 0.2414], [0.0000, 0.0000, 0.0000], [0.5000, 0.5000, 0.5000]],
  "dos_at_fermi_per_ev_cell": 4.0,
  "final_energy_ry_per_atom": -1.3460,
  "space_group": "No. 166",
  "formation_enthalpy_0k_ev_per_atom": 0.18
}